1.
## SrHg8Pd2 (PBE)

Data for crystalline SrHg8Pd2 at its relaxed geometry.

Output
**ΔH_f (0 K)**: -0.07 eV per atom
**SG**: P4/mmm, No. 123

Cell lengths 7.0448, 7.0448, 6.0062 Å; angles 90.00, 90.00, 90.00 degrees
With the nearest neighbours (Å) after each atom.
Sites, in units of the cell vectors:
Sr  0.0000  0.0000  0.0000  8 Hg 3.19
Hg  0.2824  0.2824  0.2515  2 Pd 2.92, 4 Hg 2.98-3.07, 1 Sr 3.19
Hg  0.2824  0.2824  0.7485  2 Pd 2.92, 4 Hg 2.98-3.07, 1 Sr 3.19
Hg  0.2824  0.7176  0.2515  2 Pd 2.92, 4 Hg 2.98-3.07, 1 Sr 3.19
Hg  0.2824  0.7176  0.7485  2 Pd 2.92, 4 Hg 2.98-3.07, 1 Sr 3.19
Hg  0.7176  0.2824  0.2515  2 Pd 2.92, 4 Hg 2.98-3.07, 1 Sr 3.19
Hg  0.7176  0.2824  0.7485  2 Pd 2.92, 4 Hg 2.98-3.07, 1 Sr 3.19
Hg  0.7176  0.7176  0.2515  2 Pd 2.92, 4 Hg 2.98-3.07, 1 Sr 3.19
Hg  0.7176  0.7176  0.7485  2 Pd 2.92, 4 Hg 2.98-3.07, 1 Sr 3.19
Pd  0.0000  0.5000  0.5000  8 Hg 2.92
Pd  0.5000  0.0000  0.5000  8 Hg 2.92

2.
## NbPbBr6 (PBE)

Data for crystalline NbPbBr6 at its relaxed geometry.

Output
**Raw formation energy**: -6.6 eV per formula unit
**SG**: C2/m, No. 12

Cell lengths 7.1578, 7.1578, 7.0332 Å; angles 98.02, 98.02, 120.84 degrees
With the nearest neighbours (Å) after each atom.
Sites, in units of the cell vectors:
Nb  0.0000  0.0000  0.0000  6 Br 2.58-2.61
Pb  0.5000  0.5000  0.5000  6 Br 3.02-3.07
Br  0.0624  0.3599  0.2243  1 Nb 2.61
Br  0.2398  0.2398  0.7840  1 Nb 2.58
Br  0.3599  0.0624  0.2243  1 Nb 2.61
Br  0.6401  0.9376  0.7757  1 Nb 2.61
Br  0.7602  0.7602  0.2160  1 Nb 2.58
Br  0.9376  0.6401  0.7757  1 Nb 2.61

3.
## Zr3Ge (PBE)

Data for crystalline Zr3Ge at its relaxed geometry.

Output
**ΔH_f (0 K)**: -0.28 eV per atom
**SG**: Imm2, No. 44

Cell lengths 5.7116, 5.7116, 5.7116 Å; angles 146.03, 66.71, 124.47 degrees
With the nearest neighbours (Å) after each atom.
Sites, in units of the cell vectors:
Zr  0.0000  0.0000  0.0000  2 Ge 2.87, 6 Zr 2.93-3.17
Zr  0.4001  0.6260  0.7742  3 Ge 2.90-3.10, 7 Zr 2.93-3.17
Zr  0.8518  0.6260  0.2258  3 Ge 2.90-3.10, 7 Zr 2.93-3.17
Ge  0.4396  0.9396  0.5000  8 Zr 2.87-3.10

4.
## Dy5Pb2C2 (PBE)

Data for crystalline Dy5Pb2C2 at its relaxed geometry.

Output
**ΔH_f (0 K)**: -0.34 eV per atom
**SG**: P4/mmm, No. 123

Cell lengths 4.8877, 4.8877, 9.4424 Å; angles 90.00, 90.00, 90.00 degrees
With the nearest neighbours (Å) after each atom.
Sites, in units of the cell vectors:
Dy  0.0000  0.0000  0.0000  2 C 2.32
Dy  0.0000  0.5000  0.2818  2 C 2.47
Dy  0.0000  0.5000  0.7182  2 C 2.47
Dy  0.5000  0.0000  0.2818  2 C 2.47
Dy  0.5000  0.0000  0.7182  2 C 2.47
Pb  0.5000  0.5000  0.0000  12 Dy 3.46-3.61
Pb  0.5000  0.5000  0.5000  8 Dy 3.20
C  0.0000  0.0000  0.2460  5 Dy 2.32-2.47
C  0.0000  0.0000  0.7540  5 Dy 2.32-2.47

5.
## La5Zn2Ga (PBE)

Data for crystalline La5Zn2Ga at its relaxed geometry.

Output
**ΔH_f (0 K)**: -0.28 eV per atom
**SG**: I4/mcm, No. 140

Cell lengths 9.5292, 9.5292, 9.5292 Å; angles 131.70, 131.70, 70.70 degrees
With the nearest neighbours (Å) after each atom.
Sites, in units of the cell vectors:
La  0.0000  0.0000  0.0000  4 Zn 3.12
La  0.0156  0.5156  0.8391  2 Ga 3.26, 3 Zn 3.30-3.35, 1 La 3.47
La  0.1766  0.0156  0.5000  2 Ga 3.26, 3 Zn 3.30-3.35, 1 La 3.47
La  0.3234  0.8234  0.8391  2 Ga 3.26, 3 Zn 3.30-3.35, 1 La 3.47
La  0.4844  0.3234  0.5000  2 Ga 3.26, 3 Zn 3.30-3.35, 1 La 3.47
La  0.5000  0.5000  0.0000  4 Zn 3.12
La  0.5156  0.6766  0.5000  2 Ga 3.26, 3 Zn 3.30-3.35, 1 La 3.47
La  0.6766  0.1766  0.1609  2 Ga 3.26, 3 Zn 3.30-3.35, 1 La 3.47
La  0.8234  0.9844  0.5000  2 Ga 3.26, 3 Zn 3.30-3.35, 1 La 3.47
La  0.9844  0.4844  0.1609  2 Ga 3.26, 3 Zn 3.30-3.35, 1 La 3.47
Zn  0.1174  0.3826  0.5000  1 Zn 2.59
Zn  0.3826  0.8826  0.2653  1 Zn 2.59
Zn  0.6174  0.1174  0.7347  1 Zn 2.59
Zn  0.8826  0.6174  0.5000  1 Zn 2.59
Ga  0.2500  0.2500  0.0000  8 La 3.26
Ga  0.7500  0.7500  0.0000  8 La 3.26

6.
## Ti4Co (PBE)

Data for crystalline Ti4Co at its relaxed geometry.

Output
**Polymorph energy (0 for the lowest one)**: 480 meV/atom
**ΔH_f (0 K)**: 0.49 eV per atom
**SG**: Fd-3m, No. 227

Cell lengths 6.3084, 6.3084, 6.3084 Å; angles 60.00, 60.00, 60.00 degrees
With the nearest neighbours (Å) after each atom.
Sites, in units of the cell vectors:
Ti  0.2006  0.7665  0.7665  1 Co 2.19
Ti  0.2335  0.2335  0.2335  1 Co 2.19
Ti  0.2335  0.2335  0.7994  1 Co 2.19
Ti  0.2335  0.7994  0.2335  1 Co 2.19
Ti  0.7665  0.2006  0.7665  1 Co 2.19
Ti  0.7665  0.7665  0.2006  1 Co 2.19
Ti  0.7665  0.7665  0.7665  1 Co 2.19
Ti  0.7994  0.2335  0.2335  1 Co 2.19
Co  0.3750  0.3750  0.3750  4 Ti 2.19
Co  0.6250  0.6250  0.6250  4 Ti 2.19

7.
## Yb2NiGe6 (PBE)

Data for crystalline Yb2NiGe6 at its relaxed geometry.

Output
**ΔH_f (0 K)**: -0.41 eV per atom
**SG**: Amm2, No. 38

Cell lengths 4.1231, 11.0464, 11.0464 Å; angles 20.81, 90.00, 90.00 degrees
With the nearest neighbours (Å) after each atom.
Sites, in units of the cell vectors:
Yb  0.0000  0.0000  0.0000  10 Ge 3.02-3.23
Yb  0.0000  0.3362  0.3362  10 Ge 3.06-3.34, 4 Ni 3.14
Ni  0.5000  0.7779  0.7779  5 Ge 2.34-2.39
Ge  0.0000  0.6066  0.6066  1 Ge 2.51
Ge  0.0000  0.7221  0.7221  2 Ni 2.39, 1 Ge 2.51
Ge  0.5000  0.1041  0.1041  1 Ge 2.52
Ge  0.5000  0.2200  0.2200  2 Ni 2.36, 1 Ge 2.52
Ge  0.5000  0.4569  0.4569  2 Ge 2.53
Ge  0.5000  0.8856  0.8856  1 Ni 2.34, 2 Ge 2.53

8.
## Pm8Ge2Os (PBE)

Data for crystalline Pm8Ge2Os at its relaxed geometry.

Output
**ΔH_f (0 K)**: -0.32 eV per atom
**SG**: C2/m, No. 12

Cell lengths 9.8813, 9.8813, 6.8546 Å; angles 102.93, 102.93, 28.66 degrees
With the nearest neighbours (Å) after each atom.
Sites, in units of the cell vectors:
Pm  0.0215  0.0215  0.2866  2 Os 2.93, 1 Ge 3.14, 1 Pm 3.22
Pm  0.2156  0.2156  0.8310  3 Ge 3.09-3.26, 4 Pm 3.37-3.42
Pm  0.3465  0.3465  0.5031  1 Os 2.94, 3 Ge 3.09-3.22
Pm  0.4086  0.4086  0.0341  1 Os 3.27, 2 Ge 3.36, 5 Pm 3.45-3.64
Pm  0.5914  0.5914  0.9659  1 Os 3.27, 2 Ge 3.36, 5 Pm 3.45-3.64
Pm  0.6535  0.6535  0.4969  1 Os 2.94, 3 Ge 3.09-3.22
Pm  0.7844  0.7844  0.1690  3 Ge 3.09-3.26, 4 Pm 3.37-3.42
Pm  0.9785  0.9785  0.7134  2 Os 2.93, 1 Ge 3.14, 1 Pm 3.22
Ge  0.1820  0.1820  0.2515  9 Pm 3.09-3.36
Ge  0.8180  0.8180  0.7485  9 Pm 3.09-3.36
Os  0.5000  0.5000  0.5000  8 Pm 2.93-3.27

So what do the calculations give for energy? Going down the list: -1.39; -3.80; -7.84; -5.77; -4.06; -7.24; -4.47; -5.63 eV/atom.
So what do the calculations give for total magnetization? Going down the list: 0.0; 1.0; 0.0; 0.0; 0.0; 0.0; 0.4; 0.0 μB/cell.